Entry from Alexandria via LeMat-Bulk: a relaxed structure of PaTc2Ge3 (PBE-GGA).

Computed properties:
Energy above the lowest structure with this stoichiometry in eV/atom: 0.067
E in Ry per atom: -0.552
M_tot in μB per cell: 0.000
DFT formation energy in eV/atom: -0.161

Cell: 4.284 5.264 9.497 Å, 90.00 90.00 90.00°
Fractional coordinates of all 12 atoms:
Ge 0.500 0.661 0.288
Pa 0.000 0.037 0.919
Tc 0.500 0.043 0.450
Ge 0.000 0.348 0.432
Tc 0.500 0.543 0.550
Ge 0.500 0.644 0.852
Ge 0.500 0.161 0.712
Tc 0.000 0.968 0.253
Tc 0.000 0.468 0.747
Ge 0.500 0.144 0.148
Ge 0.000 0.848 0.568
Pa 0.000 0.537 0.081